No. 1
SrHfAg: relaxed, PBE.

Values from the calculation:
Its crystal system is cubic. The calculation puts the calculated volume at 27.765 Å³ per atom. The total magnetization comes out at 0.0 Bohr magnetons per cell. As for the excess energy over the best structure of this formula in the dataset: 0.0 meV/atom.

abc: 6.933 6.933 6.933
angles: 90.00 90.00 90.00
Space group F-43m (No. 216)
Symmetry-distinct sites (fractional):
Sr  0.000  0.000  0.000
Hf  0.250  0.250  0.750
Ag  0.000  0.000  0.500

***

No. 2
SrHfAg2: relaxed, PBE.

Values from the calculation:
Its crystal system is cubic. The calculation puts the calculated volume at 21.547 Å³ per atom. The total magnetization comes out at 0.0 Bohr magnetons per cell. The calculation puts the total energy at -3.91 eV/atom.

abc: 7.012 7.012 7.012
angles: 90.00 90.00 90.00
Space group F-43m (No. 216)
Symmetry-distinct sites (fractional):
Sr  0.000  0.000  0.000
Hf  0.250  0.250  0.250
Ag  0.000  0.000  0.500
Ag  0.250  0.250  0.750

***

No. 3
HfTa2Ag: relaxed, PBE.

Values from the calculation:
Its crystal system is cubic. The calculation puts the calculated volume at 18.616 Å³ per atom. The total magnetization comes out at 0.0 Bohr magnetons per cell. The formation energy is 0.211 eV/atom.

abc: 6.678 6.678 6.678
angles: 90.00 90.00 90.00
Space group F-43m (No. 216)
Symmetry-distinct sites (fractional):
Hf  0.000  0.000  0.000
Ta  0.000  0.000  0.500
Ta  0.250  0.250  0.750
Ag  0.250  0.250  0.250